Here is a relaxed structure of Hf6In3P from Alexandria. Energies are from GGA-PBE.

```
20
Lattice="-1.2756 -3.9149 -3.8448 6.1118 -4.8151 2.8753 -6.0535 -4.0644 6.0610" Properties=species:S:1:pos:R:3 pbc="T T T"
Hf -2.8794 -5.6342 1.7329
Hf 4.3899 -5.7285 1.2261
Hf -2.4799 -10.7738 4.2420
Hf -0.3999 -8.8316 1.8047
P 0.0000 0.0000 0.0000
Hf -0.0030 -5.6729 0.2343
In -3.0267 -2.0322 3.0305
In -1.5233 -3.0670 0.4435
In 0.3061 -9.7275 4.6479
Hf -4.3052 -4.2404 4.2872
Hf 1.2626 -2.0207 0.8495
Hf -1.2142 -7.1216 4.8571
In -3.3281 -8.5219 2.4265
In 2.1108 -4.2726 2.6649
Hf 3.0879 -8.5541 0.8043
P -0.6086 -6.3972 2.5457
Hf -5.6072 -7.0659 3.8654
In 2.4181 -4.3650 -0.4848
Hf 1.6621 -7.1603 3.3585
Hf -0.8174 -3.9628 3.2867
```

Results
* N(E_F): 0.6002 states/eV/atom
* space group: P2_1/c
* crystal system: monoclinic
* raw total energy: -7.52 eV per atom